## Ni2SnPdO6 (PBE with a Hubbard U)

Data for Ni2SnPdO6 after structural relaxation.

**Spin magnetization**: 4.467 μB/f.u.
**Raw total energy**: -4.9381 eV/atom

abc: 4.0717 5.7400 5.7400
angles: 90.00 90.00 90.00
With the nearest neighbours (Å) after each atom.
Element x y z (fractional)
Pd  0.6890  0.5000  0.5000  6 O 2.00-2.07
Ni  0.8731  0.5000  0.0000  4 O 2.09
Ni  0.8731  0.0000  0.5000  4 O 2.09
O  0.7531  0.7483  0.7483  1 Pd 2.03, 2 Ni 2.09, 1 Sn 2.09
O  0.7531  0.2517  0.2517  1 Pd 2.03, 2 Ni 2.09, 1 Sn 2.09
O  0.7531  0.2517  0.7483  1 Pd 2.03, 2 Ni 2.09, 1 Sn 2.09
O  0.7531  0.7483  0.2517  1 Pd 2.03, 2 Ni 2.09, 1 Sn 2.09
O  0.1985  0.5000  0.5000  2 Pd 2.00-2.07
Sn  0.6401  0.0000  0.0000  6 O 1.95-2.12
O  0.1606  0.0000  0.0000  2 Sn 1.95-2.12